The following is a PBE calculation of MnCdSb3 after structural relaxation, from the Alexandria database.

Results
ΔE_f (raw)   1.06 eV/atom
D(E_F)   1.110 states/eV per atom

abc: 5.4880 5.4880 5.4880
angles: 90.00 90.00 90.00
Space group Pm-3m (No. 221)
Asymmetric unit:
Mn  0.0000  0.0000  0.0000
Cd  0.5000  0.5000  0.5000
Sb  0.0000  0.5000  0.5000


The following is a PBE calculation of AgTe2As after structural relaxation, from the Alexandria database.

Results
ΔE_f (raw)   0.08 eV/atom
D(E_F)   0.000 states/eV per atom

abc: 6.3717 6.3717 13.5381
angles: 90.00 90.00 90.00
Space group I-42d (No. 122)
Asymmetric unit:
Ag  0.0000  0.0000  0.0000
Te  0.2488  0.2500  0.6250
As  0.0000  0.0000  0.5000


Question: Which of these has the highest D(E_F)?
Answer: MnCdSb3


Copy entry 2 word for word.
The following is a PBE calculation of AgTe2As after structural relaxation, from the Alexandria database.

Results
ΔE_f (raw)   0.08 eV/atom
D(E_F)   0.000 states/eV per atom

abc: 6.3717 6.3717 13.5381
angles: 90.00 90.00 90.00
Space group I-42d (No. 122)
Asymmetric unit:
Ag  0.0000  0.0000  0.0000
Te  0.2488  0.2500  0.6250
As  0.0000  0.0000  0.5000


Question: D(E_F) of number 1 (MnCdSb3)?
Answer: 1.110 states/eV per atom


Repeat the second record exactly.
The following is a PBE calculation of AgTe2As after structural relaxation, from the Alexandria database.

Results
ΔE_f (raw)   0.08 eV/atom
D(E_F)   0.000 states/eV per atom

abc: 6.3717 6.3717 13.5381
angles: 90.00 90.00 90.00
Space group I-42d (No. 122)
Asymmetric unit:
Ag  0.0000  0.0000  0.0000
Te  0.2488  0.2500  0.6250
As  0.0000  0.0000  0.5000